A relaxed YCrCo2 crystal. Source: Alexandria, functional PBE.

Results
Energy relative to the lowest polymorph listed for this composition in meV per atom: 373.4
ΔE_f in eV/atom: 0.40
M_tot in μB/f.u.: 2.1

Lattice parameters (Å, degrees): 5.0247 5.0247 5.0247 134.94 134.94 65.62
Last column: nearest neighbours and their distance in Å.
Positions (direct):
Y (0.0000, 0.0000, 0.0000)  8 Co 2.72-2.86, 4 Cr 2.86
Cr (0.7500, 0.2500, 0.5000)  8 Co 2.72-2.86, 4 Y 2.86
Co (0.2500, 0.7500, 0.5000)  4 Cr 2.72, 4 Co 2.86, 4 Y 2.86
Co (0.5000, 0.5000, 0.0000)  4 Y 2.72, 4 Cr 2.86, 4 Co 2.86